1.
Here is TiV2Mo after structural relaxation from the Alexandria database. Energies are from PBE.

Cell and atoms, written as POSCAR:
```
TiV2Mo
1.0
-5.0800 -4.5874 -0.2025
1.2622 -1.6854 6.5160
-3.6245 -1.2726 3.9712
Mo V Ti
2 4 2
direct
0.0000 0.0000 0.0000
0.7500 0.2500 0.5000
0.6358 0.1250 0.2500
0.1142 0.6250 0.2500
0.3750 0.3642 0.7500
0.8750 0.8858 0.7500
0.5000 0.5000 0.0000
0.2500 0.7500 0.5000
```

Its distance to the lowest polymorph of the same formula is 2.14 eV per formula unit. The symmetry is I-42d, No. 122. Its formation enthalpy at 0 K is 0.485 eV per atom. The calculation puts the density of states at the Fermi level at 10.3 states/eV/cell. The raw total energy comes out at -8.76 eV/atom.

***

2.
Here is Ti8V2Mo after structural relaxation from the Alexandria database. Energies are from PBE.

Cell and atoms, written as POSCAR:
```
Ti8V2Mo
1.0
5.1118 -0.3284 -0.2492
-0.2834 6.8624 1.7744
-0.2834 3.5567 6.1312
Ti V Mo
8 2 1
direct
0.4001 0.3478 0.8329
0.5999 0.1671 0.6522
0.1589 0.8077 0.8077
0.8411 0.1923 0.1923
0.4001 0.8329 0.3478
0.5999 0.6522 0.1671
0.9195 0.5985 0.5985
0.0805 0.4015 0.4015
0.6471 0.7488 0.7488
0.3529 0.2512 0.2512
0.0000 0.0000 0.0000
```

The symmetry is C2/m, No. 12. Its formation enthalpy at 0 K is 0.109 eV per atom. The calculation puts the density of states at the Fermi level at 13.6 states/eV/cell. The raw total energy comes out at -8.28 eV/atom.

***

3.
Here is TiV2Mo after structural relaxation from the Alexandria database. Energies are from PBE.

Cell and atoms, written as POSCAR:
```
TiV2Mo
1.0
3.0829 0.0000 0.0000
0.0000 3.0829 0.0000
0.0000 0.0000 6.2784
Mo Ti V
1 1 2
direct
0.5000 0.5000 0.0000
0.5000 0.5000 0.5000
0.0000 0.0000 0.7648
0.0000 0.0000 0.2352
```

Its distance to the lowest polymorph of the same formula is 0.09 eV per formula unit. The symmetry is P4/mmm, No. 123. Its formation enthalpy at 0 K is -0.028 eV per atom. The calculation puts the density of states at the Fermi level at 6.9 states/eV/cell. The raw total energy comes out at -9.27 eV/atom.

***

4.
Here is Ti8VMo6 after structural relaxation from the Alexandria database. Energies are from PBE.

Cell and atoms, written as POSCAR:
```
Ti8VMo6
1.0
0.5902 -6.8292 -0.0507
6.3044 -2.5727 0.7909
1.3802 -3.0368 5.9885
Ti V Mo
8 1 6
direct
0.1254 0.6662 0.8201
0.1799 0.8746 0.3338
0.3338 0.1799 0.8746
0.5799 0.5799 0.5799
0.4201 0.4201 0.4201
0.6662 0.8201 0.1254
0.8201 0.1254 0.6662
0.8746 0.3338 0.1799
0.0000 0.0000 0.0000
0.9341 0.4629 0.7252
0.2748 0.0659 0.5371
0.5371 0.2748 0.0659
0.4629 0.7252 0.9341
0.7252 0.9341 0.4629
0.0659 0.5371 0.2748
```

The symmetry is R-3, No. 148. Its formation enthalpy at 0 K is 0.028 eV per atom. The calculation puts the density of states at the Fermi level at 16.1 states/eV/cell. The raw total energy comes out at -9.12 eV/atom.

***

5.
Here is TiV4Mo2 after structural relaxation from the Alexandria database. Energies are from PBE.

Cell and atoms, written as POSCAR:
```
TiV4Mo2
1.0
2.6831 0.0000 0.0000
0.0000 6.3898 0.0000
0.0000 0.0000 6.3899
Ti V Mo
1 4 2
direct
0.0000 0.0000 0.0000
0.8298 0.6750 0.3250
0.1702 0.3250 0.3250
0.8298 0.3250 0.6750
0.1702 0.6750 0.6750
0.5000 0.5000 0.0000
0.5000 0.0000 0.5000
```

Its distance to the lowest polymorph of the same formula is 0.00 eV per formula unit. The symmetry is P-42m, No. 111. Its formation enthalpy at 0 K is 0.327 eV per atom. The calculation puts the density of states at the Fermi level at 10.0 states/eV/cell. The raw total energy comes out at -9.11 eV/atom.

***

6.
Here is TiV4Mo2 after structural relaxation from the Alexandria database. Energies are from PBE.

Cell and atoms, written as POSCAR:
```
TiV4Mo2
1.0
-1.6149 -2.0155 -6.7034
6.6420 -0.5021 -0.8895
-4.9714 -3.2101 4.0965
Ti V Mo
2 8 4
direct
0.0978 0.5925 0.4931
0.1522 0.1577 0.0070
0.8786 0.0502 0.1727
0.3714 0.6999 0.3274
0.8778 0.5883 0.7101
0.7690 0.0166 0.7464
0.2711 0.0174 0.2487
0.3722 0.1618 0.7899
0.4810 0.7333 0.7536
0.9789 0.7325 0.2512
0.6250 0.3750 0.7500
0.6250 0.8750 0.2500
0.6250 0.3750 0.2500
0.1250 0.3750 0.7500
```

Its distance to the lowest polymorph of the same formula is 0.02 eV per formula unit. The symmetry is P-1, No. 2. Its formation enthalpy at 0 K is 0.330 eV per atom. The calculation puts the density of states at the Fermi level at 16.9 states/eV/cell. The raw total energy comes out at -9.10 eV/atom.

***

Among the records above, which one has the lowest formation enthalpy at 0 K?
number 3

***

Which formula does entry 2 have?
Ti8V2Mo

***

Which value of density of states at the Fermi level does entry 1 give?
10.3 states/eV/cell

***

Which of these has the highest density of states at the Fermi level?
number 6